DFT (PBE) results for a geometry-optimized AcTb2Sc structure.

Values from the calculation:
Formation energy = 207 meV/atom
E above lowest polymorph = 0.1203 eV per atom
SG = No. 166

Cell lengths 12.541, 12.541, 12.541 Å; angles 16.23, 16.23, 16.23 degrees
Atoms (fractional coordinates):
Ac (0.000, 0.000, 0.000)
Tb (0.095, 0.095, 0.095)
Tb (0.905, 0.905, 0.905)
Sc (0.500, 0.500, 0.500)

---

DFT (PBE) results for a geometry-optimized AcTb2Sc structure.

Values from the calculation:
Formation energy = 89 meV/atom
E above lowest polymorph = 0.0025 eV per atom
SG = No. 123

Cell lengths 3.669, 3.669, 9.857 Å; angles 90.00, 90.00, 90.00 degrees
Atoms (fractional coordinates):
Ac (0.000, 0.000, 0.000)
Tb (0.500, 0.500, 0.280)
Tb (0.500, 0.500, 0.720)
Sc (0.000, 0.000, 0.500)